(1)
DFT (GGA-PBEsol) results for an optimized crystal structure of Mg2Se.

Unit cell a=7.890 b=7.890 c=4.448 alpha=90.00 beta=90.00 gamma=151.92
Sites, in units of the cell vectors:
Mg (0.000, 0.000, 0.000)
Mg (0.170, 0.830, 0.500)
Mg (0.500, 0.500, 0.500)
Mg (0.830, 0.170, 0.500)
Se (0.375, 0.625, 0.000)
Se (0.625, 0.375, 0.000)



(2)
DFT (GGA-PBEsol) results for an optimized crystal structure of MgSe2.

Unit cell a=4.167 b=4.167 c=9.806 alpha=90.00 beta=90.00 gamma=120.00
Sites, in units of the cell vectors:
Mg (0.000, 0.000, 0.000)
Mg (0.000, 0.000, 0.500)
Se (0.333, 0.667, 0.128)
Se (0.333, 0.667, 0.372)
Se (0.667, 0.333, 0.628)
Se (0.667, 0.333, 0.872)



| no. | DOS at the Fermi energy (states/eV/cell) | calculated total energy (eV/atom) | raw formation energy (kcal/mol of atoms) |
| --- | --- | --- | --- |
| 1 | 1.47 | -2.9247 | -11.450 |
| 2 | 0.90 | -3.8649 | -16.734 |